(1)
Here is Li15Cd after structural relaxation from Alexandria. Energies are from GGA-PBE.

a = 6.0423 Å, b = 6.0423 Å, c = 9.8881 Å
α = 90.00°, β = 90.00°, γ = 120.00°
Element x y z (fractional)
Li1 0.0000 0.0000 0.5000
Li2 0.0005 0.5002 0.0000
Li3 0.9966 0.4983 0.5000
Li4 0.4998 0.9995 0.0000
Li5 0.5017 0.0034 0.5000
Li6 0.4998 0.5002 0.0000
Li7 0.5017 0.4983 0.5000
Li8 0.8353 0.1647 0.2441
Li9 0.8353 0.1647 0.7559
Li10 0.8353 0.6706 0.2441
Li11 0.8353 0.6706 0.7559
Li12 0.3294 0.1647 0.2441
Li13 0.3294 0.1647 0.7559
Li14 0.3333 0.6667 0.2528
Li15 0.3333 0.6667 0.7472
Cd1 0.0000 0.0000 0.0000

Computed properties:
The total energy comes out at -1.8926 eV per atom. The space group is P-6m2. For the density of states at the Fermi level, the calculation gives 6.03 states/eV per cell.

---

(2)
Here is LiCd4 after structural relaxation from Alexandria. Energies are from GGA-PBE.

a = 4.9701 Å, b = 4.9701 Å, c = 4.9701 Å
α = 90.00°, β = 90.00°, γ = 90.00°
Element x y z (fractional)
Cd1 0.0000 0.0000 0.0000
Cd2 0.5000 0.0000 0.5000
Cd3 0.0000 0.5000 0.5000
Cd4 0.5000 0.5000 0.0000
Li1 0.5000 0.5000 0.5000

Computed properties:
The energy above the most stable polymorph in this dataset is 338 meV per atom. The space group is Pm-3m. For the density of states at the Fermi level, the calculation gives 3.04 states/eV per cell.

---

(3)
Here is Li3Cd after structural relaxation from Alexandria. Energies are from GGA-PBE.

a = 5.4786 Å, b = 5.4786 Å, c = 5.4786 Å
α = 116.77°, β = 116.77°, γ = 116.77°
Element x y z (fractional)
Li1 0.5000 0.0000 0.5000
Li2 0.5000 0.5000 0.0000
Li3 0.0000 0.5000 0.5000
Cd1 0.0000 0.0000 0.0000

Computed properties:
The total energy comes out at -1.8149 eV per atom. The space group is R-3m. For the density of states at the Fermi level, the calculation gives 2.09 states/eV per cell.

---

(4)
Here is LiCd4 after structural relaxation from Alexandria. Energies are from GGA-PBE.

a = 7.7704 Å, b = 7.7704 Å, c = 7.7704 Å
α = 149.33°, β = 149.33°, γ = 43.92°
Element x y z (fractional)
Li1 0.0000 0.0000 0.0000
Cd1 0.7500 0.2500 0.5000
Cd2 0.2500 0.7500 0.5000
Cd3 0.5956 0.5956 0.0000
Cd4 0.4044 0.4044 0.0000

Computed properties:
The energy above the most stable polymorph in this dataset is 114 meV per atom. The space group is I4/mmm. For the density of states at the Fermi level, the calculation gives 1.84 states/eV per cell.

---

(5)
Here is Li23Cd6 after structural relaxation from Alexandria. Energies are from GGA-PBE.

a = 9.2500 Å, b = 9.2500 Å, c = 9.2500 Å
α = 60.00°, β = 60.00°, γ = 60.00°
Element x y z (fractional)
Li1 0.5000 0.5000 0.5000
Li2 0.5000 0.0000 0.0000
Li3 0.0000 0.5000 0.5000
Li4 0.5000 0.5000 0.0000
Li5 0.0000 0.0000 0.5000
Li6 0.5000 0.0000 0.5000
Li7 0.0000 0.5000 0.0000
Li8 0.0838 0.6387 0.6387
Li9 0.6387 0.6387 0.0838
Li10 0.6387 0.0838 0.6387
Li11 0.6387 0.6387 0.6387
Li12 0.3613 0.3613 0.9162
Li13 0.9162 0.3613 0.3613
Li14 0.3613 0.9162 0.3613
Li15 0.3613 0.3613 0.3613
Li16 0.3392 0.8869 0.8869
Li17 0.8869 0.8869 0.3392
Li18 0.8869 0.3392 0.8869
Li19 0.8869 0.8869 0.8869
Li20 0.1131 0.1131 0.6608
Li21 0.6608 0.1131 0.1131
Li22 0.1131 0.6608 0.1131
Li23 0.1131 0.1131 0.1131
Cd1 0.2672 0.7328 0.7328
Cd2 0.7328 0.2672 0.2672
Cd3 0.2672 0.2672 0.7328
Cd4 0.7328 0.7328 0.2672
Cd5 0.2672 0.7328 0.2672
Cd6 0.7328 0.2672 0.7328

Computed properties:
The total energy comes out at -1.8141 eV per atom. The space group is Fm-3m. For the density of states at the Fermi level, the calculation gives 4.61 states/eV per cell.

---

(6)
Here is Li2Cd after structural relaxation from Alexandria. Energies are from GGA-PBE.

a = 12.9925 Å, b = 12.9925 Å, c = 12.9925 Å
α = 161.41°, β = 161.41°, γ = 26.41°
Element x y z (fractional)
Li1 0.7500 0.7500 0.0000
Li2 0.2500 0.2500 0.0000
Li3 0.0000 0.5000 0.5000
Li4 0.5000 0.0000 0.5000
Li5 0.5855 0.5855 0.0000
Li6 0.4145 0.4145 0.0000
Li7 0.8355 0.3355 0.5000
Li8 0.6645 0.1645 0.5000
Cd1 0.9195 0.9195 0.0000
Cd2 0.0805 0.0805 0.0000
Cd3 0.1695 0.6695 0.5000
Cd4 0.3305 0.8305 0.5000

Computed properties:
The total energy comes out at -1.7777 eV per atom. The space group is I4_1/amd. For the density of states at the Fermi level, the calculation gives 4.09 states/eV per cell.